Record 1
ReAg2W PBE optimized geometry; space group = F-43m (216); crystal system = cubic; energy relative to the elements = 770 meV per atom
1.0
4.534 0.000 0.000
2.267 3.927 0.000
2.267 1.309 3.702
Ag W Re
2 1 1
Direct
0.000 0.000 0.000
0.250 0.250 0.250
0.750 0.750 0.750
0.500 0.500 0.500

---

Record 2
Fe3SiNi PBE optimized geometry; space group = Pm-3m (221); formation energy from raw total energies = 0.97 eV per atom; crystal system = cubic
1.0
-0.399 -1.647 -3.941
4.268 0.017 -0.439
0.184 -3.961 1.637
Ni Si Fe
1 1 3
Direct
0.000 0.000 0.000
0.500 0.500 0.500
0.000 0.000 0.500
0.000 0.500 0.000
0.500 0.000 0.000

---

Record 3
Tl17Cd11Sb PBE optimized geometry; space group = Cm (8); formation energy from raw total energies = 0.02 eV per atom; crystal system = monoclinic
1.0
-1.869 8.788 -5.239
-7.596 -6.938 -1.530
0.696 2.054 9.784
Tl Cd Sb
17 11 1
Direct
0.000 0.352 0.005
0.392 0.721 0.395
0.686 0.284 0.684
0.284 0.686 0.684
0.007 0.316 0.602
0.683 0.683 0.281
0.721 0.392 0.395
0.316 0.007 0.602
0.001 0.001 0.354
0.313 0.607 0.000
0.352 0.000 0.005
0.607 0.313 0.000
0.001 0.611 0.320
0.647 0.647 0.637
0.002 0.002 0.997
0.611 0.001 0.320
0.406 0.406 0.723
0.364 0.171 0.370
0.991 0.625 0.803
0.003 0.821 0.641
0.171 0.364 0.370
0.814 0.176 0.175
0.635 0.811 0.996
0.625 0.991 0.803
0.821 0.003 0.641
0.811 0.635 0.996
0.190 0.190 0.824
0.176 0.814 0.175
0.372 0.372 0.203

---

Record 4
Ho2Sc3Sn2 PBE optimized geometry; space group = C2/m (12); crystal system = monoclinic; energy relative to the elements = -462 meV per atom
1.0
4.283 0.000 0.000
-2.141 5.747 -0.111
0.000 -2.782 7.589
Ho Sc Sn
2 3 2
Direct
0.867 0.733 0.215
0.133 0.267 0.785
0.620 0.240 0.439
0.500 0.000 0.000
0.380 0.760 0.561
0.835 0.670 0.791
0.165 0.330 0.209

---

Record 5
PrNd2Ho PBE optimized geometry; space group = R-3m (166); crystal system = trigonal; energy relative to the elements = 192 meV per atom
1.0
-0.574 -1.604 3.129
2.740 -1.327 1.850
2.088 10.125 7.601
Nd Ho Pr
2 1 1
Direct
0.913 0.913 0.262
0.087 0.087 0.738
0.000 0.000 0.000
0.500 0.500 0.500

---

Record 6
BaSi4 PBE optimized geometry; space group = Pm-3m (221); formation energy from raw total energies = 2.11 eV per atom; crystal system = cubic
1.0
-4.093 1.290 -3.660
2.797 -2.708 -4.082
-2.690 -4.777 1.325
Ba Si
1 4
Direct
0.500 0.500 0.500
0.000 0.500 0.500
0.500 0.500 0.000
0.000 0.000 0.000
0.500 0.000 0.500

---

Record 7
Mg2Pd9Pb PBE optimized geometry; space group = P4/mmm (123); crystal system = tetragonal; energy relative to the elements = -401 meV per atom
1.0
-0.540 2.060 -3.410
-3.417 1.530 1.466
6.126 9.255 4.620
Pd Mg Pb
9 2 1
Direct
0.500 0.500 0.000
0.500 0.000 0.500
0.000 0.500 0.176
0.000 0.500 0.824
0.000 0.500 0.500
0.500 0.500 0.662
0.500 0.500 0.338
0.500 0.000 0.824
0.500 0.000 0.176
0.000 0.000 0.338
0.000 0.000 0.662
0.000 0.000 0.000

---

Record 8
Nd8Sm6Pu PBE optimized geometry; space group = R-3 (148); crystal system = trigonal; energy relative to the elements = 260 meV per atom
1.0
8.063 0.095 3.622
2.381 7.704 3.622
0.127 0.095 8.838
Sm Nd Pu
6 8 1
Direct
0.088 0.364 0.662
0.662 0.088 0.364
0.364 0.662 0.088
0.636 0.338 0.912
0.912 0.636 0.338
0.338 0.912 0.636
0.756 0.756 0.756
0.128 0.833 0.414
0.167 0.586 0.872
0.244 0.244 0.244
0.872 0.167 0.586
0.414 0.128 0.833
0.833 0.414 0.128
0.586 0.872 0.167
0.000 0.000 0.000

---

Record 9
MgRe2Os PBE optimized geometry; space group = P4mm (99); crystal system = tetragonal; energy relative to the elements = 200 meV per atom
1.0
2.801 0.000 0.000
0.000 2.801 0.000
0.000 0.000 7.903
Re Mg Os
2 1 1
Direct
0.500 0.500 0.236
0.000 0.000 0.988
0.000 0.000 0.508
0.500 0.500 0.767

---

Record 10
BaCrIn2 PBE optimized geometry; space group = Pm (6); crystal system = monoclinic; energy relative to the elements = 144 meV per atom
1.0
-1.729 -2.370 -3.525
-1.599 -2.316 2.341
-5.834 4.110 0.098
In Ba Cr
2 1 1
Direct
0.500 0.125 0.204
0.000 0.125 0.929
0.000 0.624 0.478
0.500 0.626 0.889

---

Record 11
CsInAg PBE optimized geometry; space group = P-6m2 (187); crystal system = hexagonal; energy relative to the elements = 41 meV per atom
1.0
5.854 0.000 0.000
0.000 4.914 0.000
0.000 -2.457 4.256
Ag Cs In
1 1 1
Direct
0.167 0.667 0.333
0.667 0.333 0.667
0.167 0.000 0.000

---

Record 12
CeTh2Bi3 PBE optimized geometry; space group = Immm (71); crystal system = orthorhombic; energy relative to the elements = -653 meV per atom
1.0
4.411 0.000 -1.250
-0.681 6.005 -2.403
-0.123 -0.344 7.975
Bi Th Ce
3 2 1
Direct
0.000 0.000 0.000
0.334 0.334 0.668
0.666 0.666 0.332
0.667 0.167 0.333
0.333 0.833 0.667
0.000 0.500 0.000

---

What did we get for calculated total energy? Answer: -7.006, -6.347, -1.855, -5.627, -4.532, -2.616, -4.871, -5.126, -9.230, -4.112, -2.107, -6.055 eV per atom, in the order shown.